Material: MoW3F
Method: DFT, GGA+U
State: optimized geometry

- DOS(E_F) (states/eV/atom) = 1.12
- offset from the most stable computed form (eV per atom) = 0.000

abc: 4.2820 4.2820 4.2820
angles: 90.00 90.00 90.00
Space group Pm-3m (No. 221)
Asymmetric unit:
Mo: 0.0000 0.0000 0.0000 (multiplicity 1)
W: 0.0000 0.5000 0.5000 (multiplicity 3)
F: 0.5000 0.5000 0.5000 (multiplicity 1)